# 1
# InSnS

Crystalline InSnS at its relaxed geometry (PBE-GGA, the Alexandria database).

As for the polymorph energy (0 for the lowest one): 0.090 eV/atom. For the spin magnetization, the calculation gives 0.00 μB per cell.

The space group is P1 (No. 1) and the conventional cell measures 3.607, 4.021 and 6.230 Å, with angles of 108.48, 106.36 and 90.02 degrees. The asymmetric unit holds In at (0.000, 0.000, 0.000), Sn at (0.244, 0.729, 0.469) and S at (0.398, 0.387, 0.789).

# 2
# AlSbP2Cl

Crystalline AlSbP2Cl at its relaxed geometry (PBE-GGA, the Alexandria database).

As for the polymorph energy (0 for the lowest one): 0.532 eV/atom. For the spin magnetization, the calculation gives 0.00 μB per cell.

The space group is P4/mmm (No. 123) and the conventional cell measures 5.097, 5.097 and 5.233 Å, with angles of 90.00, 90.00 and 90.00 degrees. The asymmetric unit holds Al at (0.000, 0.000, 0.000), Sb at (0.500, 0.500, 0.500), P at (0.000, 0.500, 0.500) and Cl at (0.500, 0.500, 0.000).

# 3
# Zn3NiH

Crystalline Zn3NiH at its relaxed geometry (PBE-GGA, the Alexandria database).

As for the polymorph energy (0 for the lowest one): 0.000 eV/atom. For the spin magnetization, the calculation gives 0.00 μB per cell.

The space group is Pm-3m (No. 221) and the conventional cell measures 3.840, 3.840 and 3.840 Å, with angles of 90.00, 90.00 and 90.00 degrees. The asymmetric unit holds Zn at (0.000, 0.000, 0.500), Ni at (0.500, 0.500, 0.500) and H at (0.000, 0.000, 0.000).

# 4
# CeLuIn

Crystalline CeLuIn at its relaxed geometry (PBE-GGA, the Alexandria database).

As for the polymorph energy (0 for the lowest one): 0.000 eV/atom. For the spin magnetization, the calculation gives 1.85 μB per cell. The calculation puts the formation energy at -0.21 eV per atom.

The space group is I4mm (No. 107) and the conventional cell measures 3.449, 3.449 and 14.124 Å, with angles of 90.00, 90.00 and 90.00 degrees. The asymmetric unit holds Ce at (0.000, 0.000, 0.000), Lu at (0.000, 0.000, 0.686) and In at (0.000, 0.000, 0.336).

# 5
# CaWSe

Crystalline CaWSe at its relaxed geometry (PBE-GGA, the Alexandria database).

As for the polymorph energy (0 for the lowest one): 0.000 eV/atom. For the spin magnetization, the calculation gives 0.00 μB per cell.

The space group is I4mm (No. 107) and the conventional cell measures 3.314, 3.314 and 11.280 Å, with angles of 90.00, 90.00 and 90.00 degrees. The asymmetric unit holds Ca at (0.000, 0.000, 0.000), W at (0.000, 0.000, 0.301) and Se at (0.000, 0.000, 0.702).

# 6
# TbDy4In

Crystalline TbDy4In at its relaxed geometry (PBE-GGA, the Alexandria database).

As for the polymorph energy (0 for the lowest one): 0.023 eV/atom. For the spin magnetization, the calculation gives 0.00 μB per cell. The calculation puts the formation energy at -0.13 eV per atom.

The space group is Cmc2_1 (No. 36) and the conventional cell measures 4.856, 14.798 and 9.870 Å, with angles of 90.00, 90.00 and 90.00 degrees. The asymmetric unit holds Tb at (0.000, 0.168, 0.000), Dy at (0.000, 0.004, 0.254), Dy at (0.000, 0.168, 0.509), Dy at (0.000, 0.327, 0.254), Dy at (0.000, 0.500, 0.004) and In at (0.000, 0.334, 0.755).

no.,E (eV/atom)
1,-3.754
2,-3.378
3,-2.450
4,-4.607
5,-6.144
6,-4.422